Entry from Alexandria via LeMat-Bulk: an optimized crystal structure of KRuPt2 (PBE).

a b c (Å): 2.764 5.118 5.072
angles (deg): 90.00 90.00 90.00
Atoms (fractional coordinates):
Ru (0.500, 0.000, 0.500)
K (0.000, 0.500, 0.500)
Pt (0.500, 0.500, 0.000)
Pt (0.000, 0.000, 0.000)

Output
The uncorrected energy is -4.853 eV per atom. Its energy of formation from the pure elements is 73.4 kJ/mol of atoms. As for the density of states at the Fermi level: 4.700 states/eV per cell. As for the energy above the lowest structure with this stoichiometry: 611 meV per atom.


Entry from Alexandria via LeMat-Bulk: an optimized crystal structure of NaTl2Ga2 (PBE).

a b c (Å): 8.652 8.652 3.543
angles (deg): 90.00 90.00 90.00
Atoms (fractional coordinates):
Tl (0.649, 0.149, 0.000)
Na (0.000, 0.000, 0.000)
Na (0.500, 0.500, 0.000)
Tl (0.149, 0.351, 0.000)
Ga (0.853, 0.353, 0.500)
Ga (0.353, 0.147, 0.500)
Tl (0.351, 0.851, 0.000)
Ga (0.647, 0.853, 0.500)
Ga (0.147, 0.647, 0.500)
Tl (0.851, 0.649, 0.000)

Output
The uncorrected energy is -2.374 eV per atom. Its energy of formation from the pure elements is 4.6 kJ/mol of atoms. As for the density of states at the Fermi level: 3.730 states/eV per cell. As for the energy above the lowest structure with this stoichiometry: 60 meV per atom.